The following is a GGA-PBE calculation of a relaxed structure of Cs2ErU3O12, from Alexandria.

abc: 7.8552 7.8552 7.8552
angles: 61.84 61.84 61.84
Last column: nearest neighbours and their distance in Å.
Sites, in units of the cell vectors:
1 O 0.9327 0.9327 0.3319  1 U 1.97
2 Er 0.0000 0.0000 0.0000  6 O 2.24
3 U 0.0000 0.5000 0.0000  6 O 1.97-2.13
4 O 0.3114 0.9313 0.3114  2 U 2.13
5 U 0.5000 0.0000 0.0000  6 O 1.97-2.13
6 U 0.0000 0.0000 0.5000  6 O 1.97-2.13
7 Cs 0.6212 0.6212 0.6212  6 O 3.49-3.51
8 O 0.0673 0.6681 0.0673  1 U 1.97
9 O 0.0673 0.0673 0.6681  1 U 1.97
10 O 0.6886 0.6886 0.0687  2 U 2.13
11 O 0.9327 0.3319 0.9327  1 U 1.97
12 O 0.3114 0.3114 0.9313  2 U 2.13
13 O 0.6886 0.0687 0.6886  2 U 2.13
14 O 0.9313 0.3114 0.3114  2 U 2.13
15 O 0.0687 0.6886 0.6886  2 U 2.13
16 Cs 0.3788 0.3788 0.3788  6 O 3.49-3.51
17 O 0.3319 0.9327 0.9327  1 U 1.97
18 O 0.6681 0.0673 0.0673  1 U 1.97

Computed properties:
magnetization	0.00	μB/cell
volume	357	Å³/cell
E_tot	-0.3111	hartree per atom
formation energy without anion corrections	-2.930	eV/atom